PdSe2Cl: relaxed, PBE. Values from VASP.

Structure (Quantum ESPRESSO input):
```
&SYSTEM
  ibrav = 0, nat = 8, ntyp = 3
/
ATOMIC_SPECIES
Pd 106.42 Pd.upf
Se 78.96 Se.upf
Cl 35.45 Cl.upf
CELL_PARAMETERS angstrom
5.337 0.000 0.000
0.000 3.735 0.000
-2.205 0.000 10.162
ATOMIC_POSITIONS angstrom
Pd 0.222 0.934 3.985
Pd 2.911 2.801 6.177
Se 0.408 2.801 2.332
Se 0.221 2.801 5.690
Se 2.912 0.934 4.472
Se 2.725 0.934 7.830
Cl -0.716 0.934 8.969
Cl 3.848 2.801 1.192
```

Properties
Density of states at the Fermi level = 0.248 states/eV/atom
Final energy = -30.3 eV for the cell shown
Energy relative to the elements, uncorrected = -0.28 eV per atom
SG = P2_1/m, No. 11
Offset from the most stable computed form = 0 meV/atom
Magnetic moment = 0.0 μB per formula unit